No. 1
A plane-wave DFT calculation with PBEsol was carried out for crystalline LiFe2Pt at its relaxed geometry.

Cell and atoms, written as CIF:
```
data_LiFe2Pt
_cell_length_a 2.621
_cell_length_b 2.621
_cell_length_c 7.606
_cell_angle_alpha 90.00
_cell_angle_beta 90.00
_cell_angle_gamma 90.00
_space_group_name_H-M_alt 'P 4 m m'
_space_group_IT_number 99
loop_
_space_group_symop_operation_xyz
'x,y,z'
'-y,x,z'
'-x,-y,z'
'y,-x,z'
'-x,y,z'
'y,x,z'
'x,-y,z'
'-y,-x,z'
loop_
_atom_site_label
_atom_site_type_symbol
_atom_site_fract_x
_atom_site_fract_y
_atom_site_fract_z
Li1 Li 0.000 0.000 0.000
Fe1 Fe 0.000 0.000 0.490
Fe2 Fe 0.500 0.500 0.720
Pt1 Pt 0.500 0.500 0.248
```

Computed properties:
M_tot = 5.53 μB per formula unit
energy of formation = 27 meV per atom


No. 2
A plane-wave DFT calculation with PBEsol was carried out for crystalline Li2FePt at its relaxed geometry.

Cell and atoms, written as CIF:
```
data_Li2FePt
_cell_length_a 2.626
_cell_length_b 3.913
_cell_length_c 5.275
_cell_angle_alpha 90.00
_cell_angle_beta 90.00
_cell_angle_gamma 90.00
_space_group_name_H-M_alt 'P m m 2'
_space_group_IT_number 25
loop_
_space_group_symop_operation_xyz
'x,y,z'
'-x,-y,z'
'-x,y,z'
'x,-y,z'
loop_
_atom_site_label
_atom_site_type_symbol
_atom_site_fract_x
_atom_site_fract_y
_atom_site_fract_z
Li1 Li 0.000 0.000 0.000
Li2 Li 0.500 0.500 0.241
Fe1 Fe 0.500 0.500 0.706
Pt1 Pt 0.000 0.000 0.514
```

Computed properties:
M_tot = 2.82 μB per formula unit
energy of formation = -108 meV per atom


No. 3
A plane-wave DFT calculation with PBEsol was carried out for crystalline LiFe2Pt at its relaxed geometry.

Cell and atoms, written as CIF:
```
data_LiFe2Pt
_cell_length_a 8.481
_cell_length_b 2.635
_cell_length_c 4.565
_cell_angle_alpha 90.00
_cell_angle_beta 100.95
_cell_angle_gamma 90.00
_space_group_name_H-M_alt 'C 1 m 1'
_space_group_IT_number 8
loop_
_space_group_symop_operation_xyz
'x,y,z'
'x,-y,z'
'x+1/2,y+1/2,z'
'x+1/2,-y+1/2,z'
loop_
_atom_site_label
_atom_site_type_symbol
_atom_site_fract_x
_atom_site_fract_y
_atom_site_fract_z
Li1 Li 0.000 0.000 0.000
Fe1 Fe 0.261 0.500 0.261
Fe2 Fe 0.499 0.000 0.494
Pt1 Pt 0.245 0.000 0.759
```

Computed properties:
M_tot = 5.50 μB per formula unit
energy of formation = -17 meV per atom


What did the third record say?
A plane-wave DFT calculation with PBEsol was carried out for crystalline LiFe2Pt at its relaxed geometry.

Cell and atoms, written as CIF:
```
data_LiFe2Pt
_cell_length_a 8.481
_cell_length_b 2.635
_cell_length_c 4.565
_cell_angle_alpha 90.00
_cell_angle_beta 100.95
_cell_angle_gamma 90.00
_space_group_name_H-M_alt 'C 1 m 1'
_space_group_IT_number 8
loop_
_space_group_symop_operation_xyz
'x,y,z'
'x,-y,z'
'x+1/2,y+1/2,z'
'x+1/2,-y+1/2,z'
loop_
_atom_site_label
_atom_site_type_symbol
_atom_site_fract_x
_atom_site_fract_y
_atom_site_fract_z
Li1 Li 0.000 0.000 0.000
Fe1 Fe 0.261 0.500 0.261
Fe2 Fe 0.499 0.000 0.494
Pt1 Pt 0.245 0.000 0.759
```

Computed properties:
M_tot = 5.50 μB per formula unit
energy of formation = -17 meV per atom


Which of these has the highest M_tot? number 1


What is the M_tot in the third record? 5.50 μB per formula unit